Below is a relaxed structure of Ag5Te2AsSe4, with properties calculated at the PBE-GGA level.

Computed properties:
* density of states at the Fermi level: 2.467 states/eV/f.u.
* crystal system: orthorhombic
* space-group type: Amm2

a b c (Å): 8.3994 6.8743 6.8743
angles (deg): 127.86 90.00 90.00
Last column: nearest neighbours and their distance in Å.
Fractional positions:
1 Ag 0.0000 0.0000 0.0000  2 Se 2.77, 2 Te 2.84
2 Ag 0.2765 0.2862 0.6774  3 Se 2.70-2.83, 2 Te 2.91-2.94
3 Ag 0.2765 0.6774 0.2862  3 Se 2.70-2.83, 2 Te 2.91-2.94
4 Ag 0.7235 0.2862 0.6774  3 Se 2.70-2.83, 2 Te 2.91-2.94
5 Ag 0.7235 0.6774 0.2862  3 Se 2.70-2.83, 2 Te 2.91-2.94
6 Te 0.0000 0.5703 0.9714  5 Ag 2.84-2.94
7 Te 0.0000 0.9714 0.5703  5 Ag 2.84-2.94
8 As 0.5000 0.0634 0.0634  4 Se 2.43-2.47
9 Se 0.2586 0.2840 0.2840  1 As 2.43, 2 Ag 2.70
10 Se 0.5000 0.6635 0.9887  1 As 2.47, 2 Ag 2.73
11 Se 0.5000 0.9887 0.6635  1 As 2.47, 2 Ag 2.73
12 Se 0.7414 0.2840 0.2840  1 As 2.43, 2 Ag 2.70


Below is a relaxed structure of AgTe2AsSe, with properties calculated at the PBE-GGA level.

Computed properties:
* density of states at the Fermi level: 4.714 states/eV/f.u.
* crystal system: tetragonal
* space-group type: P4/mmm
* energy above the most stable polymorph in this dataset: 0.129 eV/atom

a b c (Å): 5.4222 5.4222 4.9240
angles (deg): 90.00 90.00 90.00
Last column: nearest neighbours and their distance in Å.
Fractional positions:
1 Ag 0.0000 0.0000 0.0000  2 Se 2.46, 4 Te 2.71
2 Te 0.0000 0.5000 0.0000  2 Ag 2.71
3 Te 0.5000 0.0000 0.0000  2 Ag 2.71
4 As 0.5000 0.5000 0.5000  8 Te 3.66, 4 Se 3.83
5 Se 0.0000 0.0000 0.5000  2 Ag 2.46


Below is a relaxed structure of Ag2Te3As3Se2, with properties calculated at the PBE-GGA level.

Computed properties:
* density of states at the Fermi level: 5.468 states/eV/f.u.
* crystal system: tetragonal
* space-group type: I4/mmm

a b c (Å): 15.0144 15.0144 15.0144
angles (deg): 163.86 163.86 22.90
Last column: nearest neighbours and their distance in Å.
Fractional positions:
1 Ag 0.2500 0.7500 0.5000  4 Se 2.70, 4 Ag 2.98
2 Ag 0.7500 0.2500 0.5000  4 Se 2.70, 4 Ag 2.98
3 Te 0.0000 0.0000 0.0000  6 As 2.98-3.15
4 Te 0.3996 0.3996 0.0000  5 As 2.95-2.99
5 Te 0.6004 0.6004 0.0000  5 As 2.95-2.99
6 As 0.1071 0.1071 0.0000  1 Se 2.51
7 As 0.5000 0.5000 0.0000  6 Te 2.95-2.98
8 As 0.8929 0.8929 0.0000  1 Se 2.51
9 Se 0.1925 0.1925 0.0000  1 As 2.51, 4 Ag 2.70
10 Se 0.8075 0.8075 0.0000  1 As 2.51, 4 Ag 2.70


Below is a relaxed structure of AgTeAsSe2, with properties calculated at the PBE-GGA level.

Computed properties:
* density of states at the Fermi level: 4.453 states/eV/f.u.
* crystal system: tetragonal
* space-group type: P4/mmm
* energy above the most stable polymorph in this dataset: 0.000 eV/atom

a b c (Å): 5.0620 5.0620 5.0176
angles (deg): 90.00 90.00 90.00
Last column: nearest neighbours and their distance in Å.
Fractional positions:
1 Ag 0.0000 0.0000 0.0000  2 As 2.51, 4 Se 2.53
2 Te 0.5000 0.5000 0.5000  8 Se 3.56, 4 As 3.58
3 As 0.0000 0.0000 0.5000  2 Ag 2.51
4 Se 0.0000 0.5000 0.0000  2 Ag 2.53
5 Se 0.5000 0.0000 0.0000  2 Ag 2.53


Below is a relaxed structure of Ag2Te2AsSe, with properties calculated at the PBE-GGA level.

Computed properties:
* density of states at the Fermi level: 3.665 states/eV/f.u.
* crystal system: orthorhombic
* space-group type: Cmc2_1

a b c (Å): 7.3050 7.3050 8.0725
angles (deg): 90.00 90.00 59.45
Last column: nearest neighbours and their distance in Å.
Fractional positions:
1 Ag 0.0199 0.6655 0.5000  1 Se 2.69, 3 Te 2.76-2.83
2 Ag 0.3345 0.9801 0.5000  1 Se 2.69, 3 Te 2.76-2.83
3 Ag 0.6655 0.0199 0.0000  1 Se 2.69, 3 Te 2.76-2.83
4 Ag 0.9801 0.3345 0.0000  1 Se 2.69, 3 Te 2.76-2.83
5 Te 0.0012 0.6685 0.1586  1 As 2.69, 3 Ag 2.76-2.83
6 Te 0.3315 0.9988 0.1586  1 As 2.69, 3 Ag 2.76-2.83
7 Te 0.6685 0.0012 0.6586  1 As 2.69, 3 Ag 2.76-2.83
8 Te 0.9988 0.3315 0.6586  1 As 2.69, 3 Ag 2.76-2.83
9 As 0.3409 0.6590 0.0212  1 Se 2.39
10 As 0.6590 0.3409 0.5212  1 Se 2.39
11 Se 0.3615 0.6385 0.6491  1 As 2.39
12 Se 0.6385 0.3615 0.1491  1 As 2.39


Below is a relaxed structure of AgTe2AsSe, with properties calculated at the PBE-GGA level.

Computed properties:
* density of states at the Fermi level: 2.460 states/eV/f.u.
* crystal system: tetragonal
* space-group type: P4/mmm
* energy above the most stable polymorph in this dataset: 0.000 eV/atom

a b c (Å): 5.5496 5.5496 4.8622
angles (deg): 90.00 90.00 90.00
Last column: nearest neighbours and their distance in Å.
Fractional positions:
1 Ag 0.0000 0.0000 0.0000  2 Se 2.43
2 Te 0.0000 0.5000 0.5000  2 Se 2.77
3 Te 0.5000 0.0000 0.5000  2 Se 2.77
4 As 0.5000 0.5000 0.0000  8 Te 3.69, 4 Ag 3.92
5 Se 0.0000 0.0000 0.5000  2 Ag 2.43


Below is a relaxed structure of TlAgAs2Se4, with properties calculated at the PBE-GGA level.

Computed properties:
* crystal system: orthorhombic
* space-group type: I222

a b c (Å): 7.3916 7.3916 7.3916
angles (deg): 131.80 124.51 76.52
Last column: nearest neighbours and their distance in Å.
Fractional positions:
1 Tl 0.0000 0.0000 0.0000  4 Se 3.12
2 Ag 0.5000 0.5000 0.0000  4 Se 2.70
3 As 0.2226 0.7226 0.5000  2 Se 2.42
4 As 0.7774 0.2774 0.5000  2 Se 2.42
5 Se 0.1610 0.6120 0.0755  1 As 2.42, 1 Ag 2.70
6 Se 0.4635 0.3880 0.5490  1 As 2.42, 1 Ag 2.70
7 Se 0.5365 0.0855 0.9245  1 As 2.42, 1 Ag 2.70
8 Se 0.8390 0.9145 0.4510  1 As 2.42, 1 Ag 2.70


Below is a relaxed structure of TlAgAsSe2, with properties calculated at the PBE-GGA level.

Computed properties:
* density of states at the Fermi level: 0.541 states/eV/f.u.
* crystal system: orthorhombic
* space-group type: Cmme
* energy above the most stable polymorph in this dataset: 0.000 eV/atom

a b c (Å): 7.8436 7.8436 6.1721
angles (deg): 90.00 90.00 136.89
Last column: nearest neighbours and their distance in Å.
Fractional positions:
1 Tl 0.2500 0.7500 0.7748  8 Se 3.36-3.57
2 Tl 0.7500 0.2500 0.2252  8 Se 3.36-3.57
3 Ag 0.0000 0.0000 0.0000  2 Se 2.55
4 Ag 0.5000 0.5000 0.0000  2 Se 2.55
5 As 0.2500 0.2500 0.5000  4 Se 2.82, 2 As 2.88
6 As 0.7500 0.7500 0.5000  4 Se 2.82, 2 As 2.88
7 Se 0.1334 0.8666 0.2661  1 Ag 2.55, 2 As 2.82
8 Se 0.3666 0.6334 0.2661  1 Ag 2.55, 2 As 2.82
9 Se 0.6334 0.3666 0.7339  1 Ag 2.55, 2 As 2.82
10 Se 0.8666 0.1334 0.7339  1 Ag 2.55, 2 As 2.82


Record order is preserved below.
Energy relative to the elements, uncorrected: -0.032; 0.771; 0.032; 0.691; -0.012; 0.642; -0.080; 0.016 eV/atom
Record order is preserved below.
Density: 6.280; 5.930; 6.230; 6.048; 5.594; 5.732; 5.358; 6.976 Mg/m³